{"formula": "Mo2WSe", "functional": "GGA-PBE", "state": "optimized geometry", "lattice": [[-1.569, 2.204, 4.546], [1.569, -2.204, 4.546], [1.569, 2.204, -4.546]], "species": ["Mo", "Mo", "W", "Se"], "frac_coords": [[0.243, 0.243, 0.000], [0.757, 0.757, 0.000], [0.500, 0.000, 0.500], [0.000, 0.500, 0.500]], "dos_at_fermi_per_ev_cell": 3.62, "raw_formation_energy_ev_per_atom": 0.34, "m_tot_mub_per_fu": 0.00, "spacegroup": "Immm (71)", "crystal_system": "orthorhombic", "e_tot_ev_per_cell": -36.73}

***

{"formula": "ErAlZn2", "functional": "GGA-PBE", "state": "optimized geometry", "lattice": [[4.321, 0.000, 0.000], [0.000, 4.321, 0.000], [0.000, 0.000, 4.034]], "species": ["Er", "Al", "Zn", "Zn"], "frac_coords": [[0.000, 0.000, 0.000], [0.500, 0.500, 0.000], [0.000, 0.500, 0.500], [0.500, 0.000, 0.500]], "dos_at_fermi_per_ev_cell": 1.65, "m_tot_mub_per_fu": 0.00, "formation_enthalpy_0k_mev_per_atom": -291.2, "e_above_lowest_polymorph_ev_per_atom": 0.1018, "spacegroup": "P4/mmm (123)", "crystal_system": "tetragonal", "e_tot_ev_per_cell": -12.02}

***

{"formula": "Nd4InTe2Pb", "functional": "GGA-PBE", "state": "optimized geometry", "lattice": [[7.575, 0.000, 0.000], [0.000, 4.479, 0.000], [-2.638, 0.000, 7.749]], "species": ["Nd", "Nd", "Nd", "Nd", "In", "Te", "Te", "Pb"], "frac_coords": [[0.249, 0.000, 0.249], [0.250, 0.500, 0.747], [0.750, 0.500, 0.253], [0.751, 0.000, 0.751], [0.500, 0.000, 0.000], [0.000, 0.000, 0.500], [0.500, 0.500, 0.500], [0.000, 0.500, 0.000]], "dos_at_fermi_per_ev_cell": 3.94, "raw_formation_energy_ev_per_atom": -0.95, "m_tot_mub_per_fu": 0.00, "spacegroup": "P2/m (10)", "crystal_system": "monoclinic", "e_tot_ev_per_cell": -39.43}

***

{"formula": "YRe", "functional": "GGA-PBE", "state": "optimized geometry", "lattice": [[-1.683, 2.497, 5.127], [1.683, -2.497, 5.127], [1.683, 2.497, -5.127]], "species": ["Y", "Y", "Re", "Re"], "frac_coords": [[0.359, 0.109, 0.250], [0.641, 0.891, 0.750], [0.090, 0.340, 0.750], [0.910, 0.660, 0.250]], "dos_at_fermi_per_ev_cell": 3.97, "m_tot_mub_per_fu": 0.00, "formation_enthalpy_0k_mev_per_atom": 161.6, "spacegroup": "Imma (74)", "crystal_system": "orthorhombic", "e_tot_ev_per_cell": -37.18}

***

{"formula": "AcHf6N8", "functional": "GGA-PBE", "state": "optimized geometry", "lattice": [[8.575, 0.000, 0.000], [-4.287, 7.426, 0.000], [0.000, 0.000, 3.266]], "species": ["Ac", "Hf", "Hf", "Hf", "Hf", "Hf", "Hf", "N", "N", "N", "N", "N", "N", "N", "N"], "frac_coords": [[0.000, 0.000, 0.000], [0.138, 0.682, 0.738], [0.318, 0.457, 0.738], [0.457, 0.138, 0.262], [0.543, 0.862, 0.738], [0.682, 0.543, 0.262], [0.862, 0.318, 0.262], [0.040, 0.367, 0.765], [0.327, 0.960, 0.765], [0.333, 0.667, 0.244], [0.367, 0.327, 0.235], [0.633, 0.673, 0.765], [0.667, 0.333, 0.756], [0.673, 0.040, 0.235], [0.960, 0.633, 0.235]], "dos_at_fermi_per_ev_cell": 3.45, "raw_formation_energy_ev_per_atom": -1.43, "m_tot_mub_per_fu": 0.32, "spacegroup": "P-3 (147)", "crystal_system": "trigonal", "e_tot_ev_per_cell": -151.86}

***

{"formula": "Mg2Cd7", "functional": "GGA-PBE", "state": "optimized geometry", "lattice": [[5.683, 0.000, 0.000], [-2.842, 4.922, 0.000], [0.000, 0.000, 7.224]], "species": ["Mg", "Mg", "Cd", "Cd", "Cd", "Cd", "Cd", "Cd", "Cd"], "frac_coords": [[0.333, 0.667, 0.000], [0.667, 0.333, 0.000], [0.000, 0.000, 0.000], [0.000, 0.335, 0.669], [0.000, 0.665, 0.331], [0.335, 0.000, 0.669], [0.335, 0.335, 0.331], [0.665, 0.000, 0.331], [0.665, 0.665, 0.669]], "dos_at_fermi_per_ev_cell": 3.46, "m_tot_mub_per_fu": 0.00, "formation_enthalpy_0k_mev_per_atom": -24.0, "spacegroup": "P-31m (162)", "crystal_system": "trigonal", "e_tot_ev_per_cell": -9.81}